Entry 1:
The following is a PBE+U calculation of crystalline MoPdIO2 at its relaxed geometry, from the Alexandria database.

Cell: 4.1178 4.1178 5.5857 Å, 90.00 90.00 90.00°
Closest atoms and distances in Å follow each position.
Sites, in units of the cell vectors:
I: 0.0000 0.0000 0.5000  2 Pd 2.79, 4 Mo 2.91
Mo: 0.5000 0.5000 0.5000  4 I 2.91
O: 0.0000 0.5000 0.0000  2 Pd 2.06
O: 0.5000 0.0000 0.0000  2 Pd 2.06
Pd: 0.0000 0.0000 0.0000  4 O 2.06

- calculated density (Mg/m³) = 6.334
- total DFT energy (no corrections) (eV/atom) = -4.34

---

Entry 2:
The following is a PBE+U calculation of crystalline Co2OsPbO8 at its relaxed geometry, from the Alexandria database.

Cell: 4.6007 4.5995 6.5357 Å, 90.00 90.00 89.58°
Closest atoms and distances in Å follow each position.
Sites, in units of the cell vectors:
Co: 0.5000 0.5000 0.7514  6 O 1.92-2.14
Co: 0.5000 0.5000 0.2486  6 O 1.92-2.14
Os: 0.0000 0.0000 0.0000  6 O 1.88-1.93
Pb: 0.0000 0.0000 0.5000  6 O 2.10-2.29
O: 0.2048 0.7948 0.2152  1 Co 1.92, 1 Os 1.93
O: 0.7120 0.7124 0.0000  1 Os 1.88
O: 0.7952 0.2052 0.2152  1 Co 1.92, 1 Os 1.93
O: 0.7952 0.2052 0.7848  1 Co 1.92, 1 Os 1.93
O: 0.2880 0.2876 0.0000  1 Os 1.88
O: 0.2048 0.7948 0.7848  1 Co 1.92, 1 Os 1.93
O: 0.6783 0.6787 0.5000  2 Co 2.01, 1 Pb 2.10
O: 0.3217 0.3213 0.5000  2 Co 2.01, 1 Pb 2.10

- calculated density (Mg/m³) = 7.724
- total DFT energy (no corrections) (eV/atom) = -6.28

---

Number 1: size of the total moment 3.19 μB/f.u.. Number 2: size of the total moment 6.38 μB/f.u..